1.
This record from Alexandria describes an optimized crystal structure of PmZn8Au6. The functional is GGA-PBE.

Summary:
Formation energy = -0.205 eV per atom
Mass density = 10.788 Mg/m³

Lattice parameters (Å, degrees): 7.659 7.659 7.659 55.54 55.54 55.54
Element x y z (fractional)
Pm  0.000  0.000  0.000
Zn  0.101  0.434  0.842
Zn  0.158  0.899  0.566
Zn  0.303  0.303  0.303
Zn  0.434  0.842  0.101
Zn  0.566  0.158  0.899
Zn  0.697  0.697  0.697
Zn  0.842  0.101  0.434
Zn  0.899  0.566  0.158
Au  0.128  0.664  0.419
Au  0.336  0.581  0.872
Au  0.419  0.128  0.664
Au  0.581  0.872  0.336
Au  0.664  0.419  0.128
Au  0.872  0.336  0.581

---

2.
This record from Alexandria describes an optimized crystal structure of LiHgPd4. The functional is GGA-PBE.

Summary:
Excess energy over the best structure of this formula in the dataset = 0.173 eV/atom
Formation energy = -0.014 eV per atom
Mass density = 8.946 Mg/m³

Lattice parameters (Å, degrees): 5.449 5.449 9.051 90.00 90.00 119.00
Element x y z (fractional)
Li  0.001  0.999  0.750
Li  0.999  0.001  0.250
Hg  0.499  0.501  0.250
Hg  0.501  0.499  0.750
Pd  0.001  0.499  0.750
Pd  0.287  0.713  0.000
Pd  0.287  0.713  0.500
Pd  0.499  0.001  0.250
Pd  0.501  0.999  0.750
Pd  0.713  0.287  0.000
Pd  0.713  0.287  0.500
Pd  0.999  0.501  0.250

---

3.
This record from Alexandria describes an optimized crystal structure of AlAg2GeS4. The functional is GGA-PBE.

Summary:
Formation energy (no corrections) = -3.27 eV/f.u.
Mass density = 4.015 Mg/m³

Lattice parameters (Å, degrees): 6.820 6.820 6.820 129.64 129.64 73.98
Element x y z (fractional)
Al  0.000  0.000  0.000
Ag  0.250  0.750  0.500
Ag  0.500  0.500  0.000
Ge  0.750  0.250  0.500
S  0.101  0.117  0.457
S  0.356  0.899  0.016
S  0.660  0.644  0.543
S  0.883  0.340  0.984

---

4.
This record from Alexandria describes an optimized crystal structure of LaHf. The functional is GGA-PBE.

Summary:
Excess energy over the best structure of this formula in the dataset = 0.105 eV/atom
Formation energy = 0.302 eV per atom
Mass density = 9.346 Mg/m³

Lattice parameters (Å, degrees): 3.313 16.866 6.055 90.00 90.00 90.00
Element x y z (fractional)
La  0.250  0.079  0.140
La  0.250  0.421  0.140
La  0.250  0.750  0.698
La  0.750  0.250  0.302
La  0.750  0.579  0.860
La  0.750  0.921  0.860
Hf  0.250  0.250  0.784
Hf  0.250  0.598  0.347
Hf  0.250  0.902  0.347
Hf  0.750  0.098  0.653
Hf  0.750  0.402  0.653
Hf  0.750  0.750  0.216

---

5.
This record from Alexandria describes an optimized crystal structure of RhW2N. The functional is GGA-PBE.

Summary:
Formation energy (no corrections) = -0.39 eV/f.u.
Mass density = 15.707 Mg/m³

Lattice parameters (Å, degrees): 7.521 7.521 7.521 21.76 21.76 21.76
Element x y z (fractional)
Rh  0.000  0.000  0.000
W  0.562  0.562  0.562
W  0.764  0.764  0.764
N  0.162  0.162  0.162

---

6.
This record from Alexandria describes an optimized crystal structure of CaMoAsBr2. The functional is GGA-PBE.

Summary:
Excess energy over the best structure of this formula in the dataset = 0.000 eV/atom
Formation energy (no corrections) = -1.33 eV/f.u.
Mass density = 4.502 Mg/m³

Lattice parameters (Å, degrees): 5.239 5.239 4.983 90.00 90.00 90.00
Element x y z (fractional)
Ca  0.000  0.000  0.000
Mo  0.500  0.500  0.500
As  0.500  0.500  0.000
Br  0.000  0.500  0.500
Br  0.500  0.000  0.500

---

Question: What is the mass density in the fourth record?
Answer: 9.346 Mg/m³

---

Question: Which value of mass density does entry 2 give?
Answer: 8.946 Mg/m³

---

Copy entry 3 word for word.
This record from Alexandria describes an optimized crystal structure of AlAg2GeS4. The functional is GGA-PBE.

Summary:
Formation energy (no corrections) = -3.27 eV/f.u.
Mass density = 4.015 Mg/m³

Lattice parameters (Å, degrees): 6.820 6.820 6.820 129.64 129.64 73.98
Element x y z (fractional)
Al  0.000  0.000  0.000
Ag  0.250  0.750  0.500
Ag  0.500  0.500  0.000
Ge  0.750  0.250  0.500
S  0.101  0.117  0.457
S  0.356  0.899  0.016
S  0.660  0.644  0.543
S  0.883  0.340  0.984

---

Question: What is the mass density in the second record?
Answer: 8.946 Mg/m³